Material: HgPtAu4
Method: DFT, PBE-GGA
State: relaxed

Unit cell a=5.4821 b=5.4821 c=5.4821 alpha=60.00 beta=60.00 gamma=60.00
Last column: nearest neighbours and their distance in Å.
Sites, in units of the cell vectors:
Hg 0.0000 0.0000 0.0000  12 Au 3.21, 4 Pt 3.36
Pt 0.7500 0.7500 0.7500  12 Au 3.21, 4 Hg 3.36
Au 0.3751 0.3751 0.3751  6 Au 2.74
Au 0.3751 0.3751 0.8746  6 Au 2.74
Au 0.3751 0.8746 0.3751  6 Au 2.74
Au 0.8746 0.3751 0.3751  6 Au 2.74

Values from the calculation:
ΔH_f (0 K)   0.257 eV per atom
Energy above the most stable polymorph in this dataset   222 meV per atom

Material: Ac2BiSe2O2
Method: DFT, PBE-GGA
State: relaxed

Unit cell a=4.2312 b=4.2312 c=12.8340 alpha=90.00 beta=90.00 gamma=120.00
Last column: nearest neighbours and their distance in Å.
Sites, in units of the cell vectors:
Ac 0.3333 0.6667 0.1241  4 O 2.51-2.53
Ac 0.6667 0.3333 0.8759  4 O 2.51-2.53
Bi 0.0000 0.0000 0.5000  2 Se 2.73
Se 0.0000 0.0000 0.2870  1 Bi 2.73
Se 0.0000 0.0000 0.7130  1 Bi 2.73
O 0.3333 0.6667 0.9287  4 Ac 2.51-2.53
O 0.6667 0.3333 0.0713  4 Ac 2.51-2.53

Material: Tb2Pm3Dy5
Method: DFT, PBE-GGA
State: relaxed

Unit cell a=9.6098 b=9.6098 c=9.4308 alpha=108.43 beta=108.43 gamma=112.21
Last column: nearest neighbours and their distance in Å.
Sites, in units of the cell vectors:
Tb 0.0340 0.2722 0.0465  2 Pm 3.16-3.30, 4 Dy 3.30-3.47
Tb 0.2722 0.0340 0.5465  2 Pm 3.16-3.30, 4 Dy 3.30-3.47
Tb 0.7278 0.9660 0.4535  2 Pm 3.16-3.30, 4 Dy 3.30-3.47
Tb 0.9660 0.7278 0.9535  2 Pm 3.16-3.30, 4 Dy 3.30-3.47
Pm 0.2315 0.4811 0.4528  1 Tb 3.16, 5 Dy 3.30-3.51, 1 Pm 3.51
Pm 0.2671 0.7329 0.2500  4 Tb 3.30-3.56, 3 Dy 3.32-3.61, 2 Pm 3.51
Pm 0.4811 0.2315 0.9528  1 Tb 3.16, 5 Dy 3.30-3.51, 1 Pm 3.51
Pm 0.5189 0.7685 0.0472  1 Tb 3.16, 5 Dy 3.30-3.51, 1 Pm 3.51
Pm 0.7329 0.2671 0.7500  4 Tb 3.30-3.56, 3 Dy 3.32-3.61, 2 Pm 3.51
Pm 0.7685 0.5189 0.5472  1 Tb 3.16, 5 Dy 3.30-3.51, 1 Pm 3.51
Dy 0.0291 0.9709 0.7500  1 Dy 3.16, 4 Tb 3.30-3.47, 2 Pm 3.51
Dy 0.1220 0.3538 0.7264  2 Tb 3.46-3.61, 3 Pm 3.46-3.63, 3 Dy 3.50-3.67
Dy 0.2272 0.7728 0.7500  1 Dy 3.16, 2 Pm 3.30
Dy 0.3538 0.1220 0.2264  2 Tb 3.46-3.61, 3 Pm 3.46-3.63, 3 Dy 3.50-3.67
Dy 0.4754 0.5246 0.2500  5 Pm 3.32-3.45, 2 Tb 3.42, 2 Dy 3.50
Dy 0.5246 0.4754 0.7500  5 Pm 3.32-3.45, 2 Tb 3.42, 2 Dy 3.50
Dy 0.6462 0.8780 0.7736  2 Tb 3.46-3.61, 3 Pm 3.46-3.63, 3 Dy 3.50-3.67
Dy 0.7728 0.2272 0.2500  1 Dy 3.16, 2 Pm 3.30
Dy 0.8780 0.6462 0.2736  2 Tb 3.46-3.61, 3 Pm 3.46-3.63, 3 Dy 3.50-3.67
Dy 0.9709 0.0291 0.2500  1 Dy 3.16, 4 Tb 3.30-3.47, 2 Pm 3.51

Values from the calculation:
ΔH_f (0 K)   0.193 eV per atom
Energy above the most stable polymorph in this dataset   0 meV per atom

Material: B3TePt
Method: DFT, PBE-GGA
State: relaxed

Unit cell a=4.3649 b=4.3649 c=4.3649 alpha=90.00 beta=90.00 gamma=90.00
Last column: nearest neighbours and their distance in Å.
Sites, in units of the cell vectors:
B 0.0000 0.0000 0.5000  2 Te 2.18
B 0.0000 0.5000 0.0000  2 Te 2.18
B 0.5000 0.0000 0.0000  2 Te 2.18
Te 0.0000 0.0000 0.0000  6 B 2.18
Pt 0.5000 0.5000 0.5000  12 B 3.09

Values from the calculation:
Energy above the most stable polymorph in this dataset   1217 meV per atom

Material: K2LiLa
Method: DFT, PBE-GGA
State: relaxed

Unit cell a=3.6809 b=3.6809 c=13.3618 alpha=90.00 beta=90.00 gamma=90.00
Last column: nearest neighbours and their distance in Å.
Sites, in units of the cell vectors:
K 0.0000 0.0000 0.2309  4 K 3.68, 4 Li 4.04
K 0.0000 0.0000 0.7691  4 K 3.68, 4 Li 4.04
Li 0.5000 0.5000 0.0000  4 Li 3.68, 8 K 4.04
La 0.5000 0.5000 0.5000  4 La 3.68

Values from the calculation:
ΔH_f (0 K)   0.341 eV per atom

Material: Cs2TcO4
Method: DFT, PBE-GGA
State: relaxed

Unit cell a=6.8156 b=6.8065 c=6.9864 alpha=59.21 beta=59.08 gamma=61.71
Last column: nearest neighbours and their distance in Å.
Sites, in units of the cell vectors:
Cs 0.0000 0.0000 0.5000  4 O 2.99-3.00
Cs 0.5000 0.5000 0.0000  4 O 2.99-3.00
Tc 0.2495 0.2495 0.7505  4 O 1.79
O 0.1943 0.5039 0.4961  1 Tc 1.79
O 0.3048 0.9946 0.6952  1 Tc 1.79
O 0.5039 0.1943 0.8057  1 Tc 1.79
O 0.9946 0.3048 0.0054  1 Tc 1.79

Values from the calculation:
Energy above the most stable polymorph in this dataset   15 meV per atom

Material: AsPd6S2
Method: DFT, PBE-GGA
State: relaxed

Unit cell a=6.6404 b=6.6404 c=7.5335 alpha=116.37 beta=116.37 gamma=35.07
Last column: nearest neighbours and their distance in Å.
Sites, in units of the cell vectors:
As 0.0000 0.0000 0.0000  6 Pd 2.45
Pd 0.0337 0.0337 0.3480  2 S 2.36-2.41, 1 As 2.45
Pd 0.2804 0.2804 0.3998  2 S 2.37
Pd 0.3790 0.3790 0.8486  1 S 2.41, 2 As 2.45
Pd 0.6210 0.6210 0.1514  1 S 2.41, 2 As 2.45
Pd 0.7196 0.7196 0.6002  2 S 2.37
Pd 0.9663 0.9663 0.6520  2 S 2.36-2.41, 1 As 2.45
S 0.1647 0.1647 0.7041  5 Pd 2.36-2.41
S 0.8353 0.8353 0.2959  5 Pd 2.36-2.41

Material: Lu2FeC
Method: DFT, PBE-GGA
State: relaxed

Unit cell a=8.3006 b=8.3006 c=8.3006 alpha=23.52 beta=23.52 gamma=23.52
Last column: nearest neighbours and their distance in Å.
Sites, in units of the cell vectors:
Lu 0.1123 0.1123 0.1123  3 C 2.35
Lu 0.8877 0.8877 0.8877  3 C 2.35
Fe 0.0000 0.0000 0.0000  2 Lu 2.72
C 0.5000 0.5000 0.5000  6 Lu 2.35

Values from the calculation:
ΔH_f (0 K)   0.280 eV per atom

VASP energy in eV/atom, matching the order above: -2.985, -6.151, -4.459, -3.498, -1.918, -6.209, -5.084, -6.402